Entry 1:
Material: ScBe3
Method: DFT, PBE
State: relaxed

Output
electronic total energy = -3.9282 eV/atom
formation enthalpy at 0 K = 10.4 kcal/mol of atoms
symmetry = R-3m (166)
density of states at the Fermi level = 0.628 states/eV/atom

Cell: 4.9544 4.9544 4.9544 Å, 117.41 117.41 117.41°
Last column: nearest neighbours and their distance in Å.
Fractional positions:
Be 0.0000 0.0000 0.0000  6 Be 2.42-2.57, 2 Sc 2.57
Be 0.5000 0.5000 0.0000  6 Be 2.42-2.57, 2 Sc 2.57
Be 0.5000 0.0000 0.5000  6 Be 2.42-2.57, 2 Sc 2.57
Sc 0.0000 0.5000 0.5000  2 Sc 2.42, 6 Be 2.57

Entry 2:
Material: AlCd2Ga2Pd5
Method: DFT, PBE
State: relaxed

Output
electronic total energy = -4.2736 eV/atom
formation enthalpy at 0 K = -11.9 kcal/mol of atoms
symmetry = P4/mbm (127)
density of states at the Fermi level = 0.204 states/eV/atom

Cell: 3.1605 10.2498 10.2498 Å, 90.00 90.00 90.00°
Last column: nearest neighbours and their distance in Å.
Fractional positions:
Pd 0.5000 0.5268 0.7008  2 Ga 2.56, 2 Al 2.61
Pd 0.5000 0.2992 0.5268  2 Ga 2.56, 2 Al 2.61
Pd 0.5000 0.4732 0.2992  2 Ga 2.56, 2 Al 2.61
Pd 0.5000 0.5000 0.0000  4 Ga 2.55
Pd 0.5000 0.7008 0.4732  2 Ga 2.56, 2 Al 2.61
Pd 0.5000 0.9732 0.2008  2 Ga 2.56, 2 Al 2.61
Pd 0.5000 0.2008 0.0268  2 Ga 2.56, 2 Al 2.61
Pd 0.5000 0.7992 0.9732  2 Ga 2.56, 2 Al 2.61
Pd 0.5000 0.0000 0.5000  4 Ga 2.55
Pd 0.5000 0.0268 0.7992  2 Ga 2.56, 2 Al 2.61
Al 0.0000 0.5000 0.5000  8 Pd 2.61
Al 0.0000 0.0000 0.0000  8 Pd 2.61
Ga 0.0000 0.6377 0.8623  6 Pd 2.55-2.56, 1 Cd 2.74
Ga 0.0000 0.1377 0.6377  6 Pd 2.55-2.56, 1 Cd 2.74
Ga 0.0000 0.3623 0.1377  6 Pd 2.55-2.56, 1 Cd 2.74
Ga 0.0000 0.8623 0.3623  6 Pd 2.55-2.56, 1 Cd 2.74
Cd 0.0000 0.6731 0.1731  1 Ga 2.74, 6 Pd 2.89-2.97
Cd 0.0000 0.8269 0.6731  1 Ga 2.74, 6 Pd 2.89-2.97
Cd 0.0000 0.3269 0.8269  1 Ga 2.74, 6 Pd 2.89-2.97
Cd 0.0000 0.1731 0.3269  1 Ga 2.74, 6 Pd 2.89-2.97

Entry 3:
Material: Ac4Hg2Pb3
Method: DFT, PBE
State: relaxed

Output
electronic total energy = -3.4684 eV/atom
formation enthalpy at 0 K = -7.8 kcal/mol of atoms
symmetry = Cmce (64)
density of states at the Fermi level = 0.441 states/eV/atom

Cell: 8.2765 10.6332 8.8616 Å, 90.00 117.84 90.00°
Last column: nearest neighbours and their distance in Å.
Fractional positions:
Pb 0.5000 0.5000 0.0000  6 Ac 3.27-3.37
Pb 0.5004 0.2500 0.5008  5 Ac 3.40-3.74
Pb 0.0000 0.0000 0.0000  6 Ac 3.27-3.37
Pb 0.0004 0.2500 0.5008  5 Ac 3.40-3.74
Pb 0.4996 0.7500 0.4992  5 Ac 3.40-3.74
Pb 0.9996 0.7500 0.4992  5 Ac 3.40-3.74
Hg 0.5903 0.9659 0.1807  1 Hg 2.92, 1 Ac 3.18
Hg 0.0903 0.5341 0.1807  1 Hg 2.92, 1 Ac 3.18
Hg 0.9097 0.4659 0.8193  1 Hg 2.92, 1 Ac 3.18
Hg 0.4097 0.0341 0.8193  1 Hg 2.92, 1 Ac 3.18
Ac 0.7915 0.0035 0.5830  1 Hg 3.18, 5 Pb 3.27-3.46
Ac 0.2382 0.7500 0.9765  3 Pb 3.37-3.74, 2 Hg 3.48
Ac 0.2085 0.9965 0.4170  1 Hg 3.18, 5 Pb 3.27-3.46
Ac 0.7382 0.7500 0.9765  3 Pb 3.37-3.74, 2 Hg 3.48
Ac 0.2618 0.2500 0.0235  3 Pb 3.37-3.74, 2 Hg 3.48
Ac 0.7618 0.2500 0.0235  3 Pb 3.37-3.74, 2 Hg 3.48
Ac 0.7085 0.5035 0.4170  1 Hg 3.18, 5 Pb 3.27-3.46
Ac 0.2915 0.4965 0.5830  1 Hg 3.18, 5 Pb 3.27-3.46